1.
Below is crystalline La2CeTl at its relaxed geometry, with properties calculated at the PBE level.

a = 5.0484 Å, b = 5.0484 Å, c = 4.9090 Å
α = 90.00°, β = 90.00°, γ = 90.00°
Sites, in units of the cell vectors:
La 0.0000 0.5000 0.0000
La 0.5000 0.0000 0.0000
Ce 0.0000 0.0000 0.5000
Tl 0.5000 0.5000 0.5000

ΔH_f (0 K) = -0.169 eV/atom
Energy above the most stable polymorph in this dataset = 12 meV per atom



2.
Below is crystalline Sr2CrRh at its relaxed geometry, with properties calculated at the PBE level.

a = 4.3572 Å, b = 4.7615 Å, c = 11.5228 Å
α = 90.00°, β = 90.00°, γ = 90.00°
Sites, in units of the cell vectors:
Sr 0.0000 0.0000 0.0000
Sr 0.0000 0.5000 0.5000
Sr 0.5000 0.0000 0.2865
Sr 0.5000 0.5000 0.7865
Cr 0.0000 0.0000 0.6918
Cr 0.0000 0.5000 0.1918
Rh 0.5000 0.0000 0.5949
Rh 0.5000 0.5000 0.0949

ΔH_f (0 K) = 0.122 eV/atom
Energy above the most stable polymorph in this dataset = 0 meV per atom



3.
Below is crystalline Li2PaPbSe4 at its relaxed geometry, with properties calculated at the PBE level.

a = 6.9459 Å, b = 4.1295 Å, c = 7.4362 Å
α = 90.00°, β = 110.61°, γ = 90.00°
Sites, in units of the cell vectors:
Li 0.0000 0.0000 0.0000
Li 0.0000 0.5000 0.5000
Pa 0.5000 0.0000 0.5000
Pb 0.5000 0.5000 0.0000
Se 0.2398 0.0000 0.7191
Se 0.2420 0.5000 0.2574
Se 0.7580 0.5000 0.7426
Se 0.7602 0.0000 0.2809

ΔE_f (raw) = -1102 meV/atom



4.
Below is crystalline LiNdGe2Pd4 at its relaxed geometry, with properties calculated at the PBE level.

a = 8.9232 Å, b = 8.9232 Å, c = 8.9232 Å
α = 27.89°, β = 27.89°, γ = 27.89°
Sites, in units of the cell vectors:
Li 0.0000 0.0000 0.0000
Nd 0.5000 0.5000 0.5000
Ge 0.2625 0.2625 0.2625
Ge 0.7375 0.7375 0.7375
Pd 0.0961 0.0961 0.0961
Pd 0.3659 0.3659 0.3659
Pd 0.6341 0.6341 0.6341
Pd 0.9039 0.9039 0.9039

ΔH_f (0 K) = -0.673 eV/atom